No. 1
Material: DyCu4Tc
Method: DFT, PBE-GGA
State: relaxed

For the theoretical density, the calculation gives 9755 kg/m3. For the energy relative to the elements, the calculation gives 0.04 eV per atom.

The structure belongs to space group F-43m (No. 216); the cell edges are 7.0504, 7.0504 and 7.0504 Å and the angles 90.00°, 90.00° and 90.00°. The inequivalent atoms are Dy at (0.0000, 0.0000, 0.0000), Cu at (0.1237, 0.1237, 0.3763) and Tc at (0.2500, 0.2500, 0.7500).

=====

No. 2
Material: Dy8Cu2Tc
Method: DFT, PBE-GGA
State: relaxed

For the theoretical density, the calculation gives 9002 kg/m3. For the energy relative to the elements, the calculation gives -0.10 eV per atom.

The structure belongs to space group C2/m (No. 12); the cell edges are 17.1855, 5.0978 and 6.7441 Å and the angles 90.00°, 107.76° and 90.00°. The inequivalent atoms are Dy at (0.0315, 0.0000, 0.2953), Dy at (0.0914, 0.5000, 0.9428), Dy at (0.1679, 0.5000, 0.4754), Dy at (0.1968, 0.0000, 0.8166), Cu at (0.1833, 0.0000, 0.2123) and Tc at (0.0000, 0.5000, 0.5000).

=====

No. 3
Material: DyCuTc
Method: DFT, PBE-GGA
State: relaxed

For the theoretical density, the calculation gives 9319 kg/m3. For the energy relative to the elements, the calculation gives 0.10 eV per atom.

The structure belongs to space group Fmmm (No. 69); the cell edges are 4.8156, 10.6693 and 17.9814 Å and the angles 90.00°, 90.00° and 90.00°. The inequivalent atoms are Dy at (0.0000, 0.1491, 0.1177), Cu at (0.0000, 0.1268, 0.2806), Tc at (0.0000, 0.0000, 0.4096) and Tc at (0.0000, 0.1735, 0.5000).

=====

No. 4
Material: Dy8Cu2Tc
Method: DFT, PBE-GGA
State: relaxed

For the theoretical density, the calculation gives 8722 kg/m3. For the energy relative to the elements, the calculation gives 0.00 eV per atom.

The structure belongs to space group Cm (No. 8); the cell edges are 8.2244, 13.1878 and 5.7133 Å and the angles 90.00°, 110.43° and 90.00°. The inequivalent atoms are Dy at (0.0000, 0.0000, 0.0000), Dy at (0.0727, 0.3784, 0.7977), Dy at (0.1583, 0.1212, 0.5913), Dy at (0.2257, 0.5000, 0.3674), Dy at (0.3665, 0.2097, 0.1872), Cu at (0.3622, 0.3032, 0.6838) and Tc at (0.3611, 0.0000, 0.0843).

=====

No. 5
Material: DyThCuTc
Method: DFT, PBE-GGA
State: relaxed

For the theoretical density, the calculation gives 10675 kg/m3. For the energy relative to the elements, the calculation gives -0.13 eV per atom.

The structure belongs to space group F-43m (No. 216); the cell edges are 7.0205, 7.0205 and 7.0205 Å and the angles 90.00°, 90.00° and 90.00°. The inequivalent atoms are Dy at (0.0000, 0.0000, 0.0000), Th at (0.0000, 0.0000, 0.5000), Cu at (0.2500, 0.2500, 0.7500) and Tc at (0.2500, 0.2500, 0.2500).

=====

No. 6
Material: DyTmCuTc
Method: DFT, PBE-GGA
State: relaxed

For the theoretical density, the calculation gives 10251 kg/m3. For the energy relative to the elements, the calculation gives -0.13 eV per atom.

The structure belongs to space group F-43m (No. 216); the cell edges are 6.8357, 6.8357 and 6.8357 Å and the angles 90.00°, 90.00° and 90.00°. The inequivalent atoms are Dy at (0.0000, 0.0000, 0.0000), Tm at (0.0000, 0.0000, 0.5000), Cu at (0.2500, 0.2500, 0.7500) and Tc at (0.2500, 0.2500, 0.2500).